{
  "formula": "Cs2KNaMg",
  "functional": "GGA-PBE",
  "state": "optimized geometry",
  "lattice_angstrom": [[-5.918, 1.947, 4.679], [-1.241, -7.531, 1.564], [4.009, 0.361, 4.920]],
  "species": ["Cs", "Cs", "Na", "K", "Mg"],
  "fractional_positions": [[0.000, 0.500, 0.000], [0.500, 0.000, 0.000], [0.000, 0.000, 0.500], [0.500, 0.500, 0.500], [0.000, 0.000, 0.000]],
  "sg": "No. 123",
  "formation_energy_mev_per_atom": 194,
  "dos_ef_per_ev_atom": 1.017,
  "m_tot_mub_per_cell": 0.00
}